# Ca2MgSn3 | Alexandria | PBE | optimized geometry
data_Ca2MgSn3
_chemical_formula_sum 'Ca4 Mg2 Sn6'
_cell_length_a 5.857
_cell_length_b 7.107
_cell_length_c 8.457
_cell_angle_alpha 90.00
_cell_angle_beta 109.94
_cell_angle_gamma 90.00
_symmetry_space_group_name_H-M 'P 1 21/m 1'
_symmetry_Int_Tables_number 11
loop_
_symmetry_equiv_pos_as_xyz
'x,y,z'
'-x,-y,-z'
'-x,y+1/2,-z'
'x,-y+1/2,z'
loop_
_atom_site_label
_atom_site_type_symbol
_atom_site_fract_x
_atom_site_fract_y
_atom_site_fract_z
Ca1 Ca 0.159 0.000 0.321
Mg1 Mg 0.267 0.250 0.000
Sn1 Sn 0.226 0.750 0.000
Sn2 Sn 0.337 0.250 0.676
Sn3 Sn 0.342 0.750 0.676
# calculated formation energy = -0.425 eV per atom
# E = -3.359 eV per atom

# CaMgSn2 | Alexandria | PBE | optimized geometry
data_CaMgSn2
_chemical_formula_sum 'Ca4 Mg4 Sn8'
_cell_length_a 5.096
_cell_length_b 5.096
_cell_length_c 19.335
_cell_angle_alpha 90.00
_cell_angle_beta 90.00
_cell_angle_gamma 90.00
_symmetry_space_group_name_H-M 'I -4 2 d'
_symmetry_Int_Tables_number 122
_symmetry_space_group_name_Hall 'I -4 2bw'
loop_
_atom_site_label
_atom_site_type_symbol
_atom_site_fract_x
_atom_site_fract_y
_atom_site_fract_z
Ca1 Ca 0.000 0.000 0.000
Mg1 Mg 0.000 0.000 0.500
Sn1 Sn 0.184 0.250 0.625
# calculated formation energy = -0.185 eV per atom
# E = -3.085 eV per atom

# Ca6Mg5Sn | Alexandria | PBE | optimized geometry
data_Ca6Mg5Sn
_chemical_formula_sum 'Ca6 Mg5 Sn1'
_cell_length_a 5.509
_cell_length_b 7.952
_cell_length_c 8.721
_cell_angle_alpha 90.00
_cell_angle_beta 108.05
_cell_angle_gamma 90.00
_symmetry_space_group_name_H-M 'P 1 2/m 1'
_symmetry_Int_Tables_number 10
loop_
_symmetry_equiv_pos_as_xyz
'x,y,z'
'-x,-y,-z'
'-x,y,-z'
'x,-y,z'
loop_
_atom_site_label
_atom_site_type_symbol
_atom_site_fract_x
_atom_site_fract_y
_atom_site_fract_z
Ca1 Ca 0.000 0.244 0.000
Ca2 Ca 0.339 0.249 0.674
Mg1 Mg 0.163 0.500 0.333
Mg2 Mg 0.171 0.000 0.346
Mg3 Mg 0.500 0.500 0.000
Sn1 Sn 0.500 0.000 0.000
# calculated formation energy = -0.202 eV per atom
# E = -2.201 eV per atom

# Ca4MgSn3 | Alexandria | PBE | optimized geometry
data_Ca4MgSn3
_chemical_formula_sum 'Ca16 Mg4 Sn12'
_cell_length_a 12.398
_cell_length_b 12.398
_cell_length_c 5.964
_cell_angle_alpha 90.00
_cell_angle_beta 90.00
_cell_angle_gamma 90.00
_symmetry_space_group_name_H-M 'I 4/m c m'
_symmetry_Int_Tables_number 140
_symmetry_space_group_name_Hall '-I 4 2c'
loop_
_atom_site_label
_atom_site_type_symbol
_atom_site_fract_x
_atom_site_fract_y
_atom_site_fract_z
Ca1 Ca 0.083 0.220 0.000
Mg1 Mg 0.000 0.500 0.250
Sn1 Sn 0.000 0.000 0.250
Sn2 Sn 0.152 0.348 0.500
# calculated formation energy = -0.610 eV per atom
# E = -3.311 eV per atom